Computed, not measured: a relaxed DyPaRh4 crystal at the GGA-PBE level of DFT.

Cell lengths 4.4005, 7.4957, 13.1000 Å; angles 90.00, 90.00, 90.00 degrees
Last column: nearest neighbours and their distance in Å.
Atoms (fractional coordinates):
Dy (0.7500, 0.2499, 0.4439)  10 Rh 2.84-3.16
Dy (0.2500, 0.7501, 0.5561)  10 Rh 2.84-3.16
Dy (0.2500, 0.2501, 0.9439)  10 Rh 2.84-3.16
Dy (0.7500, 0.7499, 0.0561)  10 Rh 2.84-3.16
Pa (0.7500, 0.7500, 0.7715)  10 Rh 2.66-2.90
Pa (0.2500, 0.2500, 0.2285)  10 Rh 2.66-2.90
Pa (0.2500, 0.7500, 0.2715)  10 Rh 2.66-2.90
Pa (0.7500, 0.2500, 0.7285)  10 Rh 2.66-2.90
Rh (0.7500, 0.9772, 0.5982)  2 Pa 2.66-2.84, 3 Dy 2.84-2.87, 3 Rh 2.97
Rh (0.2500, 0.0228, 0.4018)  2 Pa 2.66-2.84, 3 Dy 2.84-2.87, 3 Rh 2.97
Rh (0.2500, 0.5228, 0.0982)  2 Pa 2.66-2.84, 3 Dy 2.84-2.87, 3 Rh 2.97
Rh (0.7500, 0.4772, 0.9018)  2 Pa 2.66-2.84, 3 Dy 2.84-2.87, 3 Rh 2.97
Rh (0.7500, 0.7501, 0.4122)  8 Rh 2.83-3.01, 2 Pa 2.87, 2 Dy 2.90
Rh (0.2500, 0.2499, 0.5878)  8 Rh 2.83-3.01, 2 Pa 2.87, 2 Dy 2.90
Rh (0.2500, 0.7499, 0.9122)  8 Rh 2.83-3.01, 2 Pa 2.87, 2 Dy 2.90
Rh (0.7500, 0.2501, 0.0878)  8 Rh 2.83-3.01, 2 Pa 2.87, 2 Dy 2.90
Rh (0.7500, 0.0227, 0.9019)  2 Pa 2.66-2.84, 3 Dy 2.84-2.87, 3 Rh 2.97
Rh (0.2500, 0.9773, 0.0981)  2 Pa 2.66-2.84, 3 Dy 2.84-2.87, 3 Rh 2.97
Rh (0.2500, 0.4773, 0.4019)  2 Pa 2.66-2.84, 3 Dy 2.84-2.87, 3 Rh 2.97
Rh (0.7500, 0.5227, 0.5981)  2 Pa 2.66-2.84, 3 Dy 2.84-2.87, 3 Rh 2.97
Rh (0.7500, 0.0000, 0.2500)  6 Rh 2.83-2.97, 4 Pa 2.90, 2 Dy 3.16
Rh (0.2500, 0.0000, 0.7500)  6 Rh 2.83-2.97, 4 Pa 2.90, 2 Dy 3.16
Rh (0.2500, 0.5000, 0.7500)  6 Rh 2.83-2.97, 4 Pa 2.90, 2 Dy 3.16
Rh (0.7500, 0.5000, 0.2500)  6 Rh 2.83-2.97, 4 Pa 2.90, 2 Dy 3.16

Computed properties:
formation enthalpy at 0 K	-0.793	eV per atom
DOS at the Fermi energy	21.4	states/eV per cell
excess energy over the best structure of this formula in the dataset	0.000	eV per atom

Computed, not measured: a relaxed DyPa3Rh6 crystal at the GGA-PBE level of DFT.

Cell lengths 3.8532, 11.6209, 9.9814 Å; angles 117.65, 90.00, 90.00 degrees
Last column: nearest neighbours and their distance in Å.
Atoms (fractional coordinates):
Dy (0.2500, 0.6038, 0.6515)  8 Rh 2.82-3.00
Dy (0.7500, 0.3962, 0.3485)  8 Rh 2.82-3.00
Pa (0.2500, 0.3679, 0.8570)  6 Rh 2.66-2.77
Pa (0.7500, 0.6321, 0.1430)  6 Rh 2.66-2.77
Pa (0.2500, 0.8446, 0.4747)  7 Rh 2.65-2.86
Pa (0.7500, 0.1554, 0.5253)  7 Rh 2.65-2.86
Pa (0.2500, 0.9140, 0.0889)  7 Rh 2.70-2.95
Pa (0.7500, 0.0860, 0.9111)  7 Rh 2.70-2.95
Rh (0.2500, 0.1028, 0.6970)  6 Pa 2.73-2.95, 1 Rh 2.92
Rh (0.7500, 0.8972, 0.3030)  6 Pa 2.73-2.95, 1 Rh 2.92
Rh (0.2500, 0.2249, 0.1093)  2 Pa 2.70, 4 Rh 2.84-2.86, 2 Dy 2.99
Rh (0.7500, 0.7751, 0.8907)  2 Pa 2.70, 4 Rh 2.84-2.86, 2 Dy 2.99
Rh (0.2500, 0.6210, 0.9423)  3 Pa 2.66-2.74, 1 Dy 2.82, 2 Rh 2.84
Rh (0.7500, 0.3790, 0.0577)  3 Pa 2.66-2.74, 1 Dy 2.82, 2 Rh 2.84
Rh (0.2500, 0.5690, 0.2970)  3 Pa 2.77-2.85, 2 Dy 2.99, 4 Rh 3.03-3.07
Rh (0.7500, 0.4310, 0.7030)  3 Pa 2.77-2.85, 2 Dy 2.99, 4 Rh 3.03-3.07
Rh (0.2500, 0.2717, 0.4499)  2 Pa 2.65, 2 Dy 2.86, 2 Rh 2.95
Rh (0.7500, 0.7283, 0.5501)  2 Pa 2.65, 2 Dy 2.86, 2 Rh 2.95
Rh (0.2500, 0.8943, 0.7835)  4 Pa 2.77-2.95, 5 Rh 2.86-2.95, 1 Dy 3.00
Rh (0.7500, 0.1057, 0.2165)  4 Pa 2.77-2.95, 5 Rh 2.86-2.95, 1 Dy 3.00

Computed properties:
formation enthalpy at 0 K	-0.794	eV per atom
DOS at the Fermi energy	15.6	states/eV per cell

Computed, not measured: a relaxed DyPaRuRh crystal at the GGA-PBE level of DFT.

Cell lengths 4.8502, 4.8502, 4.8502 Å; angles 60.00, 60.00, 60.00 degrees
Last column: nearest neighbours and their distance in Å.
Atoms (fractional coordinates):
Ru (0.7500, 0.7500, 0.7500)  4 Dy 2.97, 4 Pa 2.97
Pa (0.5000, 0.5000, 0.5000)  4 Ru 2.97, 4 Rh 2.97
Rh (0.2500, 0.2500, 0.2500)  4 Dy 2.97, 4 Pa 2.97
Dy (0.0000, 0.0000, 0.0000)  4 Ru 2.97, 4 Rh 2.97

Computed properties:
formation enthalpy at 0 K	-0.541	eV per atom
DOS at the Fermi energy	4.8	states/eV per cell

What did the second record say?
Computed, not measured: a relaxed DyPa3Rh6 crystal at the GGA-PBE level of DFT.

Cell lengths 3.8532, 11.6209, 9.9814 Å; angles 117.65, 90.00, 90.00 degrees
Last column: nearest neighbours and their distance in Å.
Atoms (fractional coordinates):
Dy (0.2500, 0.6038, 0.6515)  8 Rh 2.82-3.00
Dy (0.7500, 0.3962, 0.3485)  8 Rh 2.82-3.00
Pa (0.2500, 0.3679, 0.8570)  6 Rh 2.66-2.77
Pa (0.7500, 0.6321, 0.1430)  6 Rh 2.66-2.77
Pa (0.2500, 0.8446, 0.4747)  7 Rh 2.65-2.86
Pa (0.7500, 0.1554, 0.5253)  7 Rh 2.65-2.86
Pa (0.2500, 0.9140, 0.0889)  7 Rh 2.70-2.95
Pa (0.7500, 0.0860, 0.9111)  7 Rh 2.70-2.95
Rh (0.2500, 0.1028, 0.6970)  6 Pa 2.73-2.95, 1 Rh 2.92
Rh (0.7500, 0.8972, 0.3030)  6 Pa 2.73-2.95, 1 Rh 2.92
Rh (0.2500, 0.2249, 0.1093)  2 Pa 2.70, 4 Rh 2.84-2.86, 2 Dy 2.99
Rh (0.7500, 0.7751, 0.8907)  2 Pa 2.70, 4 Rh 2.84-2.86, 2 Dy 2.99
Rh (0.2500, 0.6210, 0.9423)  3 Pa 2.66-2.74, 1 Dy 2.82, 2 Rh 2.84
Rh (0.7500, 0.3790, 0.0577)  3 Pa 2.66-2.74, 1 Dy 2.82, 2 Rh 2.84
Rh (0.2500, 0.5690, 0.2970)  3 Pa 2.77-2.85, 2 Dy 2.99, 4 Rh 3.03-3.07
Rh (0.7500, 0.4310, 0.7030)  3 Pa 2.77-2.85, 2 Dy 2.99, 4 Rh 3.03-3.07
Rh (0.2500, 0.2717, 0.4499)  2 Pa 2.65, 2 Dy 2.86, 2 Rh 2.95
Rh (0.7500, 0.7283, 0.5501)  2 Pa 2.65, 2 Dy 2.86, 2 Rh 2.95
Rh (0.2500, 0.8943, 0.7835)  4 Pa 2.77-2.95, 5 Rh 2.86-2.95, 1 Dy 3.00
Rh (0.7500, 0.1057, 0.2165)  4 Pa 2.77-2.95, 5 Rh 2.86-2.95, 1 Dy 3.00

Computed properties:
formation enthalpy at 0 K	-0.794	eV per atom
DOS at the Fermi energy	15.6	states/eV per cell